No. 1
! NpTcC2 | Alexandria via LeMat-Bulk | PBE | relaxed; values from VASP
! - mass density (g/cm³) = 11.6
! - symmetry = Amm2 (38)
! - ΔH_f (0 K) (eV per atom) = 0.18
! - total moment (μB/atom) = 0.683
! - energy (eV per atom) = -10.263
&SYSTEM
  ibrav = 0, nat = 4, ntyp = 3
/
ATOMIC_SPECIES
Np 237.00 Np.upf
Tc 98.00 Tc.upf
C 12.01 C.upf
CELL_PARAMETERS angstrom
3.2807 0.0000 0.0000
0.0000 2.4045 3.2674
0.0000 -2.4045 3.2674
ATOMIC_POSITIONS crystal
Np 0.0000 0.0000 0.0000
Tc 0.5000 0.3959 0.3959
C 0.5000 0.5527 0.8501
C 0.5000 0.8501 0.5527



No. 2
! La5NdSmY2 | Alexandria via LeMat-Bulk | PBE | relaxed; values from VASP
! - mass density (g/cm³) = 6.0
! - symmetry = I4/mcm (140)
! - ΔH_f (0 K) (eV per atom) = 0.27
! - total moment (μB/atom) = 0.000
! - energy (eV per atom) = -4.953
&SYSTEM
  ibrav = 0, nat = 18, ntyp = 4
/
ATOMIC_SPECIES
La 138.91 La.upf
Nd 144.24 Nd.upf
Sm 150.36 Sm.upf
Y 88.91 Y.upf
CELL_PARAMETERS angstrom
-4.4705 4.4705 8.0709
4.4705 -4.4705 8.0709
4.4705 4.4705 -8.0709
ATOMIC_POSITIONS crystal
La 0.0000 0.0000 0.0000
La 0.0566 0.5566 0.8961
La 0.1605 0.0566 0.5000
La 0.3395 0.8395 0.8961
La 0.4434 0.3395 0.5000
La 0.5000 0.5000 0.0000
La 0.5566 0.6605 0.5000
La 0.6605 0.1605 0.1039
La 0.8395 0.9434 0.5000
La 0.9434 0.4434 0.1039
Nd 0.2500 0.7500 0.5000
Nd 0.7500 0.2500 0.5000
Sm 0.2500 0.2500 0.0000
Sm 0.7500 0.7500 0.0000
Y 0.1195 0.3805 0.5000
Y 0.3805 0.8805 0.2611
Y 0.6195 0.1195 0.7389
Y 0.8805 0.6195 0.5000